1.
A relaxed structure of TlSiBr. Source: the Alexandria database, functional PBE-GGA.

Computed properties:
- VASP energy (eV/atom) = -3.305
- uncorrected formation energy (eV per atom) = -0.15
- density of states at the Fermi level (states/eV per cell) = 1.07

a = 6.478 Å, b = 3.886 Å, c = 7.656 Å
α = 90.00°, β = 105.46°, γ = 90.00°
Element x y z (fractional)
Tl  0.658  0.689  0.706
Tl  0.342  0.189  0.294
Br  0.795  0.137  0.152
Br  0.205  0.637  0.848
Si  0.117  0.693  0.525
Si  0.883  0.193  0.475

2.
A relaxed structure of TlSiBr. Source: the Alexandria database, functional PBE-GGA.

Computed properties:
- VASP energy (eV/atom) = -3.291
- uncorrected formation energy (eV per atom) = -0.14
- density of states at the Fermi level (states/eV per cell) = 1.25

a = 3.926 Å, b = 6.762 Å, c = 7.736 Å
α = 82.07°, β = 89.97°, γ = 73.12°
Element x y z (fractional)
Si  0.382  0.816  0.464
Si  0.773  0.033  0.484
Tl  0.930  0.714  0.154
Tl  0.103  0.377  0.558
Br  0.679  0.223  0.189
Br  0.439  0.701  0.781

3.
A relaxed structure of TlSiBr. Source: the Alexandria database, functional PBE-GGA.

Computed properties:
- VASP energy (eV/atom) = -3.187
- uncorrected formation energy (eV per atom) = -0.03
- density of states at the Fermi level (states/eV per cell) = 0.11

a = 6.191 Å, b = 6.262 Å, c = 6.442 Å
α = 85.61°, β = 65.60°, γ = 63.04°
Element x y z (fractional)
Tl  0.397  0.517  0.519
Tl  0.395  0.845  0.855
Br  0.939  0.097  0.543
Br  0.873  0.730  0.165
Si  0.100  0.264  0.731
Si  0.696  0.516  0.050

4.
A relaxed structure of TlSi2Br. Source: the Alexandria database, functional PBE-GGA.

Computed properties:
- VASP energy (eV/atom) = -3.119
- uncorrected formation energy (eV per atom) = 0.60
- density of states at the Fermi level (states/eV per cell) = 2.59

a = 3.243 Å, b = 4.628 Å, c = 6.635 Å
α = 90.00°, β = 90.00°, γ = 90.00°
Element x y z (fractional)
Si  0.000  0.000  0.570
Si  0.000  0.000  0.930
Br  0.500  0.500  0.750
Tl  0.500  0.500  0.250

5.
A relaxed structure of TlSiBr. Source: the Alexandria database, functional PBE-GGA.

Computed properties:
- VASP energy (eV/atom) = -3.322
- uncorrected formation energy (eV per atom) = -0.17
- density of states at the Fermi level (states/eV per cell) = 0.94

a = 5.763 Å, b = 3.861 Å, c = 9.551 Å
α = 90.00°, β = 93.77°, γ = 90.00°
Element x y z (fractional)
Tl  0.958  0.500  0.874
Tl  0.475  0.500  0.534
Si  0.992  0.500  0.544
Si  0.880  0.000  0.424
Br  0.785  0.000  0.187
Br  0.513  0.000  0.808

6.
A relaxed structure of TlSiBr2. Source: the Alexandria database, functional PBE-GGA.

Computed properties:
- VASP energy (eV/atom) = -2.835
- uncorrected formation energy (eV per atom) = -0.05
- density of states at the Fermi level (states/eV per cell) = 1.79

a = 7.713 Å, b = 7.713 Å, c = 7.713 Å
α = 153.58°, β = 144.55°, γ = 44.75°
Element x y z (fractional)
Tl  0.679  0.179  0.500
Br  0.016  0.016  0.000
Br  0.327  0.827  0.500
Si  0.477  0.477  0.000

7.
A relaxed structure of TlSi2Br. Source: the Alexandria database, functional PBE-GGA.

Computed properties:
- VASP energy (eV/atom) = -3.117
- uncorrected formation energy (eV per atom) = 0.60
- density of states at the Fermi level (states/eV per cell) = 2.19

a = 5.047 Å, b = 5.047 Å, c = 5.047 Å
α = 60.00°, β = 60.00°, γ = 60.00°
Element x y z (fractional)
Br  0.500  0.500  0.500
Si  0.000  0.000  0.000
Si  0.750  0.750  0.750
Tl  0.250  0.250  0.250

8.
A relaxed structure of Tl4SiBr. Source: the Alexandria database, functional PBE-GGA.

Computed properties:
- VASP energy (eV/atom) = -2.455
- uncorrected formation energy (eV per atom) = 0.30
- density of states at the Fermi level (states/eV per cell) = 3.79

a = 6.412 Å, b = 6.412 Å, c = 6.412 Å
α = 60.00°, β = 60.00°, γ = 60.00°
Element x y z (fractional)
Tl  0.375  0.375  0.375
Tl  0.375  0.375  0.876
Tl  0.375  0.876  0.375
Tl  0.876  0.375  0.375
Br  0.750  0.750  0.750
Si  0.000  0.000  0.000

9.
A relaxed structure of TlSiBr2. Source: the Alexandria database, functional PBE-GGA.

Computed properties:
- VASP energy (eV/atom) = -2.677
- uncorrected formation energy (eV per atom) = 0.11
- density of states at the Fermi level (states/eV per cell) = 2.75

a = 5.357 Å, b = 5.357 Å, c = 5.357 Å
α = 60.00°, β = 60.00°, γ = 60.00°
Element x y z (fractional)
Br  0.250  0.250  0.250
Br  0.750  0.750  0.750
Tl  0.500  0.500  0.500
Si  0.000  0.000  0.000

10.
A relaxed structure of TlSiBr2. Source: the Alexandria database, functional PBE-GGA.

Computed properties:
- VASP energy (eV/atom) = -2.950
- uncorrected formation energy (eV per atom) = -0.17
- density of states at the Fermi level (states/eV per cell) = 1.59

a = 6.871 Å, b = 6.871 Å, c = 6.871 Å
α = 146.86°, β = 132.01°, γ = 59.56°
Element x y z (fractional)
Br  0.091  0.091  0.000
Br  0.409  0.409  0.000
Tl  0.750  0.250  0.500
Si  0.250  0.750  0.500

11.
A relaxed structure of TlSiBr2. Source: the Alexandria database, functional PBE-GGA.

Computed properties:
- VASP energy (eV/atom) = -2.966
- uncorrected formation energy (eV per atom) = -0.18
- density of states at the Fermi level (states/eV per cell) = 0.76

a = 5.627 Å, b = 3.666 Å, c = 6.943 Å
α = 58.18°, β = 90.00°, γ = 90.00°
Element x y z (fractional)
Tl  0.500  0.536  0.838
Br  0.500  0.509  0.364
Br  0.000  0.934  0.942
Si  0.000  0.521  0.356

12.
A relaxed structure of TlSi2Br. Source: the Alexandria database, functional PBE-GGA.

Computed properties:
- VASP energy (eV/atom) = -3.499
- uncorrected formation energy (eV per atom) = 0.22
- density of states at the Fermi level (states/eV per cell) = 1.54

a = 6.257 Å, b = 6.257 Å, c = 6.417 Å
α = 61.99°, β = 61.99°, γ = 35.44°
Element x y z (fractional)
Br  0.250  0.250  0.250
Si  0.440  0.440  0.351
Si  0.060  0.060  0.149
Tl  0.750  0.750  0.750

13.
A relaxed structure of Tl2SiWBr. Source: the Alexandria database, functional PBE-GGA.

Computed properties:
- VASP energy (eV/atom) = -3.545
- uncorrected formation energy (eV per atom) = 1.41
- density of states at the Fermi level (states/eV per cell) = 1.95

a = 5.446 Å, b = 5.098 Å, c = 5.446 Å
α = 90.00°, β = 90.00°, γ = 90.00°
Element x y z (fractional)
Tl  0.500  0.000  0.000
Tl  0.000  0.000  0.500
Br  0.000  0.500  0.000
W  0.500  0.500  0.500
Si  0.000  0.000  0.000

14.
A relaxed structure of TlZn2SiBr. Source: the Alexandria database, functional PBE-GGA.

Computed properties:
- VASP energy (eV/atom) = -2.255
- uncorrected formation energy (eV per atom) = 0.15
- density of states at the Fermi level (states/eV per cell) = 2.74

a = 4.787 Å, b = 5.888 Å, c = 4.787 Å
α = 90.00°, β = 90.00°, γ = 90.00°
Element x y z (fractional)
Zn  0.000  0.000  0.500
Zn  0.500  0.000  0.000
Tl  0.500  0.500  0.500
Br  0.000  0.500  0.000
Si  0.000  0.000  0.000

15.
A relaxed structure of Tm4SiBr5. Source: the Alexandria database, functional PBE-GGA.

Computed properties:
- VASP energy (eV/atom) = -4.518
- uncorrected formation energy (eV per atom) = -1.35
- density of states at the Fermi level (states/eV per cell) = 3.62

a = 3.968 Å, b = 8.241 Å, c = 9.670 Å
α = 89.78°, β = 101.84°, γ = 90.00°
Element x y z (fractional)
Tm  0.000  0.222  0.000
Tm  0.000  0.778  0.000
Tm  0.638  0.998  0.277
Tm  0.362  0.002  0.723
Br  0.844  0.248  0.689
Br  0.500  0.500  0.000
Br  0.156  0.752  0.311
Br  0.844  0.755  0.688
Br  0.156  0.245  0.312
Si  0.500  0.000  0.000

16.
A relaxed structure of TmSiBr. Source: the Alexandria database, functional PBE-GGA.

Computed properties:
- VASP energy (eV/atom) = -5.015
- uncorrected formation energy (eV per atom) = -1.16
- density of states at the Fermi level (states/eV per cell) = 1.59

a = 4.026 Å, b = 4.026 Å, c = 11.410 Å
α = 90.18°, β = 99.97°, γ = 120.00°
Element x y z (fractional)
Br  0.452  0.723  0.174
Br  0.548  0.277  0.826
Tm  0.891  0.444  0.334
Tm  0.109  0.556  0.666
Si  0.674  0.837  0.511
Si  0.326  0.163  0.489

17.
A relaxed structure of Tm3SiBr3. Source: the Alexandria database, functional PBE-GGA.

Computed properties:
- VASP energy (eV/atom) = -4.709
- uncorrected formation energy (eV per atom) = -1.30
- density of states at the Fermi level (states/eV per cell) = 3.73

a = 6.829 Å, b = 6.829 Å, c = 11.415 Å
α = 72.59°, β = 72.59°, γ = 60.00°
Element x y z (fractional)
Br  0.229  0.896  0.313
Br  0.563  0.229  0.313
Br  0.437  0.771  0.687
Br  0.771  0.104  0.687
Br  0.104  0.437  0.687
Br  0.896  0.563  0.313
Tm  0.714  0.383  0.855
Tm  0.383  0.048  0.855
Tm  0.048  0.714  0.855
Tm  0.952  0.286  0.145
Tm  0.617  0.952  0.145
Tm  0.286  0.617  0.145
Si  0.667  0.667  0.000
Si  0.333  0.333  0.000

18.
A relaxed structure of Tm4SiBr5. Source: the Alexandria database, functional PBE-GGA.

Computed properties:
- VASP energy (eV/atom) = -4.556
- uncorrected formation energy (eV per atom) = -1.39
- density of states at the Fermi level (states/eV per cell) = 3.24

a = 3.985 Å, b = 8.266 Å, c = 9.185 Å
α = 102.38°, β = 102.53°, γ = 90.00°
Element x y z (fractional)
Br  0.173  0.840  0.346
Br  0.827  0.160  0.654
Br  0.500  0.500  0.000
Br  0.833  0.671  0.666
Br  0.167  0.329  0.334
Tm  0.999  0.780  0.998
Tm  0.350  0.922  0.700
Tm  0.001  0.220  0.002
Tm  0.650  0.078  0.300
Si  0.500  0.000  0.000

19.
A relaxed structure of Tm2SiBr3. Source: the Alexandria database, functional PBE-GGA.

Computed properties:
- VASP energy (eV/atom) = -4.519
- uncorrected formation energy (eV per atom) = -1.29
- density of states at the Fermi level (states/eV per cell) = 0.90

a = 3.986 Å, b = 9.556 Å, c = 10.006 Å
α = 80.49°, β = 78.51°, γ = 77.96°
Element x y z (fractional)
Br  0.242  0.130  0.385
Br  0.045  0.139  0.771
Br  0.758  0.870  0.615
Br  0.677  0.673  0.974
Br  0.323  0.327  0.026
Br  0.955  0.861  0.229
Tm  0.125  0.566  0.183
Tm  0.610  0.221  0.559
Tm  0.875  0.434  0.817
Tm  0.390  0.779  0.441
Si  0.439  0.502  0.619
Si  0.561  0.498  0.381

20.
A relaxed structure of TmSiBr. Source: the Alexandria database, functional PBE-GGA.

Computed properties:
- VASP energy (eV/atom) = -4.492
- uncorrected formation energy (eV per atom) = -0.64
- density of states at the Fermi level (states/eV per cell) = 3.40

a = 4.070 Å, b = 7.338 Å, c = 7.477 Å
α = 72.97°, β = 90.03°, γ = 90.06°
Element x y z (fractional)
Br  0.499  0.770  0.384
Br  0.501  0.230  0.616
Tm  0.500  0.455  0.248
Tm  0.500  0.545  0.752
Si  0.000  0.336  0.062
Si  0.000  0.664  0.938

21.
A relaxed structure of Tm2SiBr. Source: the Alexandria database, functional PBE-GGA.

Computed properties:
- VASP energy (eV/atom) = -4.957
- uncorrected formation energy (eV per atom) = -0.95
- density of states at the Fermi level (states/eV per cell) = 1.75

a = 4.112 Å, b = 4.112 Å, c = 7.338 Å
α = 73.73°, β = 73.73°, γ = 60.00°
Element x y z (fractional)
Si  0.000  0.000  0.000
Tm  0.734  0.734  0.798
Tm  0.266  0.266  0.202
Br  0.500  0.500  0.500

22.
A relaxed structure of VSiBr3. Source: the Alexandria database, functional PBE-GGA.

Computed properties:
- VASP energy (eV/atom) = -3.800
- uncorrected formation energy (eV per atom) = 0.11
- density of states at the Fermi level (states/eV per cell) = 2.70

a = 5.135 Å, b = 5.135 Å, c = 5.135 Å
α = 90.00°, β = 90.00°, γ = 90.00°
Element x y z (fractional)
V  0.000  0.000  0.000
Br  0.500  0.000  0.000
Br  0.000  0.500  0.000
Br  0.000  0.000  0.500
Si  0.500  0.500  0.500

23.
A relaxed structure of VSiBr3. Source: the Alexandria database, functional PBE-GGA.

Computed properties:
- VASP energy (eV/atom) = -3.552
- uncorrected formation energy (eV per atom) = 0.36
- density of states at the Fermi level (states/eV per cell) = 9.98

a = 5.260 Å, b = 5.260 Å, c = 5.260 Å
α = 90.00°, β = 90.00°, γ = 90.00°
Element x y z (fractional)
V  0.500  0.500  0.500
Br  0.500  0.000  0.000
Br  0.000  0.000  0.500
Br  0.000  0.500  0.000
Si  0.000  0.000  0.000

24.
A relaxed structure of VSi2Br. Source: the Alexandria database, functional PBE-GGA.

Computed properties:
- VASP energy (eV/atom) = -4.429
- uncorrected formation energy (eV per atom) = 0.98
- density of states at the Fermi level (states/eV per cell) = 3.86

a = 4.544 Å, b = 4.544 Å, c = 4.544 Å
α = 60.00°, β = 60.00°, γ = 60.00°
Element x y z (fractional)
Si  0.750  0.750  0.750
Si  0.250  0.250  0.250
Br  0.500  0.500  0.500
V  0.000  0.000  0.000

25.
A relaxed structure of VSi2Br. Source: the Alexandria database, functional PBE-GGA.

Computed properties:
- VASP energy (eV/atom) = -4.545
- uncorrected formation energy (eV per atom) = 0.86
- density of states at the Fermi level (states/eV per cell) = 8.22

a = 5.933 Å, b = 5.933 Å, c = 7.236 Å
α = 65.80°, β = 65.80°, γ = 90.00°
Element x y z (fractional)
Br  0.750  0.250  0.500
Br  0.000  0.000  0.000
Si  0.375  0.435  0.750
Si  0.185  0.625  0.250
Si  0.875  0.815  0.750
Si  0.565  0.125  0.250
V  0.500  0.500  0.000
V  0.250  0.750  0.500

26.
A relaxed structure of VSi3Br. Source: the Alexandria database, functional PBE-GGA.

Computed properties:
- VASP energy (eV/atom) = -4.898
- uncorrected formation energy (eV per atom) = 0.51
- density of states at the Fermi level (states/eV per cell) = 4.31

a = 4.751 Å, b = 4.751 Å, c = 4.751 Å
α = 90.00°, β = 90.00°, γ = 90.00°
Element x y z (fractional)
Si  0.500  0.000  0.000
Si  0.000  0.000  0.500
Si  0.000  0.500  0.000
V  0.000  0.000  0.000
Br  0.500  0.500  0.500

27.
A relaxed structure of SiW2Br. Source: the Alexandria database, functional PBE-GGA.

Computed properties:
- VASP energy (eV/atom) = -7.668
- uncorrected formation energy (eV per atom) = 0.58
- density of states at the Fermi level (states/eV per cell) = 2.15

a = 2.904 Å, b = 2.904 Å, c = 9.428 Å
α = 90.00°, β = 90.00°, γ = 111.83°
Element x y z (fractional)
Si  0.500  0.500  0.795
W  0.000  0.000  0.008
W  0.500  0.500  0.232
Br  0.000  0.000  0.464